(1)
Here is crystalline Ac3PbAu4 at its relaxed geometry from Alexandria via LeMat-Bulk. Energies are from PBE.

Cell lengths 8.9896, 8.9896, 8.9896 Å; angles 152.86, 130.96, 56.94 degrees
Fractional positions:
Ac 0.0000 0.0000 0.0000
Ac 0.3142 0.8142 0.5000
Ac 0.6858 0.1858 0.5000
Pb 0.5000 0.5000 0.0000
Au 0.0599 0.3674 0.6925
Au 0.3251 0.6326 0.6925
Au 0.6749 0.3674 0.3075
Au 0.9401 0.6326 0.3075

Properties
Energy of formation from the pure elements: -0.680 eV/atom
N(E_F): 3.95 states/eV/cell
Crystal system: orthorhombic
SG: Immm

***

(2)
Here is crystalline Ac3PbAu3 at its relaxed geometry from Alexandria via LeMat-Bulk. Energies are from PBE.

Cell lengths 9.6322, 9.6322, 6.2476 Å; angles 90.00, 90.00, 120.00 degrees
Fractional positions:
Ac 0.0420 0.3642 0.2500
Ac 0.3222 0.9580 0.2500
Ac 0.3642 0.3222 0.7500
Ac 0.6358 0.6778 0.2500
Ac 0.6778 0.0420 0.7500
Ac 0.9580 0.6358 0.7500
Pb 0.3333 0.6667 0.7500
Pb 0.6667 0.3333 0.2500
Au 0.0274 0.3399 0.7500
Au 0.3125 0.9726 0.7500
Au 0.3399 0.3125 0.2500
Au 0.6601 0.6875 0.7500
Au 0.6875 0.0274 0.2500
Au 0.9726 0.6601 0.2500

Properties
Energy of formation from the pure elements: -0.581 eV/atom
N(E_F): 11.11 states/eV/cell
Crystal system: hexagonal
SG: P6_3/m

***

Which value of energy of formation from the pure elements does entry 1 give? -0.680 eV/atom

***

Number 1 is which compound? Ac3PbAu4

***

What did the first record say?
Here is crystalline Ac3PbAu4 at its relaxed geometry from Alexandria via LeMat-Bulk. Energies are from PBE.

Cell lengths 8.9896, 8.9896, 8.9896 Å; angles 152.86, 130.96, 56.94 degrees
Fractional positions:
Ac 0.0000 0.0000 0.0000
Ac 0.3142 0.8142 0.5000
Ac 0.6858 0.1858 0.5000
Pb 0.5000 0.5000 0.0000
Au 0.0599 0.3674 0.6925
Au 0.3251 0.6326 0.6925
Au 0.6749 0.3674 0.3075
Au 0.9401 0.6326 0.3075

Properties
Energy of formation from the pure elements: -0.680 eV/atom
N(E_F): 3.95 states/eV/cell
Crystal system: orthorhombic
SG: Immm